This record from Alexandria describes TbNdYTh after structural relaxation. The functional is PBE.

Output
Energy relative to the elements ... 12.8 meV/atom
Excess energy over the best structure of this formula in the dataset ... 0 meV per atom

Unit cell a=11.809 b=11.809 c=11.809 alpha=17.60 beta=17.60 gamma=17.60
Fractional coordinates of all 4 atoms:
Tb 0.000 0.000 0.000
Nd 0.752 0.752 0.752
Y 0.172 0.172 0.172
Th 0.586 0.586 0.586

***

This record from Alexandria describes TbNdY5Th2 after structural relaxation. The functional is PBE.

Output
Energy relative to the elements ... 319.1 meV/atom

Unit cell a=9.958 b=9.958 c=9.958 alpha=127.49 beta=127.49 gamma=77.46
Fractional coordinates of all 18 atoms:
Tb 0.250 0.250 0.000
Tb 0.750 0.750 0.000
Nd 0.250 0.750 0.500
Nd 0.750 0.250 0.500
Y 0.000 0.000 0.000
Y 0.069 0.569 0.916
Y 0.154 0.069 0.500
Y 0.346 0.846 0.916
Y 0.431 0.346 0.500
Y 0.500 0.500 0.000
Y 0.569 0.654 0.500
Y 0.654 0.154 0.084
Y 0.846 0.931 0.500
Y 0.931 0.431 0.084
Th 0.119 0.381 0.500
Th 0.381 0.881 0.263
Th 0.619 0.119 0.737
Th 0.881 0.619 0.500

***

This record from Alexandria describes Tb6NdY3Th2 after structural relaxation. The functional is PBE.

Output
Energy relative to the elements ... 31.9 meV/atom

Unit cell a=6.206 b=6.206 c=11.839 alpha=95.02 beta=95.02 gamma=119.95
Fractional coordinates of all 12 atoms:
Tb 0.079 0.417 0.752
Tb 0.245 0.245 0.248
Tb 0.417 0.079 0.752
Tb 0.583 0.921 0.248
Tb 0.755 0.755 0.752
Tb 0.921 0.583 0.248
Nd 0.500 0.500 0.000
Y 0.000 0.000 0.500
Y 0.334 0.666 0.500
Y 0.666 0.334 0.500
Th 0.167 0.833 0.000
Th 0.833 0.167 0.000